1.
DFT (PBE) results for an optimized crystal structure of PaCdAgO5.

```
16
Lattice="-2.996 1.238 -4.888 -0.491 -5.701 1.286 -5.373 3.001 5.554" Properties=species:S:1:pos:R:3 pbc="T T T"
Cd -6.239 1.312 1.215
O -7.166 -0.156 2.555
Ag -5.407 -0.993 3.265
O -4.909 0.956 -1.413
Cd -2.620 -2.773 0.737
O -2.761 0.229 -3.101
O -1.693 -1.305 -0.603
Pa 0.000 0.000 0.000
O -3.950 -2.417 3.364
O -4.439 0.360 2.028
Pa -2.686 1.501 2.777
O -2.070 -4.297 2.093
O -4.420 -1.821 -0.076
O -6.789 2.836 -0.141
Ag -3.452 -0.469 -1.313
O -6.098 -1.690 5.053
```

Values from the calculation:
Total energy: -6.42 eV/atom
Crystal system: monoclinic
Formation energy from raw total energies: -1.67 eV/atom

2.
DFT (PBE) results for an optimized crystal structure of CdAg2PbO4.

```
8
Lattice="-2.962 4.434 -0.026 -2.353 -1.545 4.532 6.196 0.934 0.394" Properties=species:S:1:pos:R:3 pbc="T T T"
Ag 1.669 1.121 1.248
O -2.043 3.406 1.853
Ag 2.264 1.539 4.839
O 3.960 0.860 0.730
Pb -0.987 2.567 3.503
O -1.647 0.574 3.868
Cd 1.958 4.528 2.560
O 1.095 2.537 3.051
```

Values from the calculation:
Total energy: -4.28 eV/atom
Crystal system: tetragonal
Formation energy from raw total energies: -0.51 eV/atom

Question: Which of these has the highest formation energy from raw total energies?
Answer: CdAg2PbO4

Question: Among the records above, which one has the lowest total energy?
Answer: PaCdAgO5